No. 1
Computed, not measured: crystalline Hg2PdO3 at its relaxed geometry at the PBE-GGA level of DFT.

The structure belongs to space group Immm (No. 71); the cell edges are 3.1922, 3.9682 and 12.9579 Å and the angles 90.00°, 90.00° and 90.00°. The asymmetric unit holds Hg at (0.0000, 0.0000, 0.1562), Pd at (0.0000, 0.0000, 0.5000), O at (0.0000, 0.0000, 0.3400) and O at (0.0000, 0.5000, 0.5000).

No. 2
Computed, not measured: crystalline HgPd2PtO6 at its relaxed geometry at the PBE-GGA level of DFT.

For the total moment, the calculation gives 0.0 μB per cell.

The structure belongs to space group Cmmm (No. 65); the cell edges are 7.3085, 10.3770 and 3.1722 Å and the angles 90.00°, 90.00° and 90.00°. The asymmetric unit holds Hg at (0.0000, 0.0000, 0.0000), Pd at (0.2500, 0.2500, 0.5000), Pt at (0.0000, 0.5000, 0.0000), O at (0.0000, 0.1676, 0.5000) and O at (0.2008, 0.3721, 0.0000).

No. 3
Computed, not measured: crystalline HgPdPt2O6 at its relaxed geometry at the PBE-GGA level of DFT.

For the total moment, the calculation gives 0.0 μB per cell.

The structure belongs to space group Cmmm (No. 65); the cell edges are 7.3123, 10.4432 and 3.1710 Å and the angles 90.00°, 90.00° and 90.00°. The asymmetric unit holds Hg at (0.0000, 0.0000, 0.0000), Pd at (0.0000, 0.5000, 0.0000), Pt at (0.2500, 0.2500, 0.5000), O at (0.0000, 0.1689, 0.5000) and O at (0.2044, 0.3696, 0.0000).

Number 1: raw total energy -3.5267 eV per atom. Number 2: raw total energy -5.0629 eV per atom. Number 3: raw total energy -5.2171 eV per atom.